Entry 1:
The following is a DFT calculation (PBE) of K3NbO after structural relaxation.

a b c (Å): 5.4733 5.4733 5.4733
angles (deg): 90.00 90.00 90.00
Last column: nearest neighbours and their distance in Å.
Sites, in units of the cell vectors:
K (0.0000, 0.0000, 0.5000)  2 O 2.74
K (0.0000, 0.5000, 0.0000)  2 O 2.74
K (0.5000, 0.0000, 0.0000)  2 O 2.74
Nb (0.5000, 0.5000, 0.5000)  12 K 3.87
O (0.0000, 0.0000, 0.0000)  6 K 2.74

Output
* formation energy (no corrections): 2.18 eV per formula unit
* density of states at the Fermi level: 4.93 states/eV/cell
* E above lowest polymorph: 0.00 eV/f.u.
* calculated density: 2.29 g/cm3

=====

Entry 2:
The following is a DFT calculation (PBE) of Ca2Pm4Er after structural relaxation.

a b c (Å): 12.3411 12.3411 12.3411
angles (deg): 163.34 152.35 32.46
Last column: nearest neighbours and their distance in Å.
Sites, in units of the cell vectors:
Ca (0.2210, 0.2210, 0.0000)  6 Ca 3.58-3.71, 6 Pm 3.67-3.98
Ca (0.7790, 0.7790, 0.0000)  6 Ca 3.58-3.71, 6 Pm 3.67-3.98
Pm (0.0797, 0.5797, 0.5000)  2 Er 3.50, 7 Pm 3.58-3.78, 2 Ca 3.80
Pm (0.3710, 0.8710, 0.5000)  2 Er 3.54, 6 Pm 3.58-3.64, 2 Ca 3.67
Pm (0.6290, 0.1290, 0.5000)  2 Er 3.54, 6 Pm 3.58-3.64, 2 Ca 3.67
Pm (0.9203, 0.4203, 0.5000)  2 Er 3.50, 7 Pm 3.58-3.78, 2 Ca 3.80
Er (0.5000, 0.5000, 0.0000)  8 Pm 3.50-3.54, 2 Er 3.58

Output
* formation energy from the elements: 0.90 eV per formula unit
* density of states at the Fermi level: 11.10 states/eV/cell
* E above lowest polymorph: 0.00 eV/f.u.
* calculated density: 5.50 g/cm3

=====

Entry 3:
The following is a DFT calculation (PBE) of AgSn6PtAu2 after structural relaxation.

a b c (Å): 7.2630 6.7152 12.0882
angles (deg): 90.00 125.57 90.00
Last column: nearest neighbours and their distance in Å.
Sites, in units of the cell vectors:
Ag (0.0000, 0.0000, 0.0000)  6 Sn 2.85-2.86, 2 Au 3.13
Ag (0.0000, 0.5000, 0.5000)  6 Sn 2.85-2.86, 2 Au 3.13
Sn (0.0930, 0.0579, 0.2615)  1 Pt 2.70, 2 Au 2.76-2.87, 1 Ag 2.85
Sn (0.0930, 0.4421, 0.7615)  1 Pt 2.70, 2 Au 2.76-2.87, 1 Ag 2.85
Sn (0.2718, 0.1471, 0.5987)  1 Pt 2.73, 2 Au 2.82-2.95, 1 Ag 2.86
Sn (0.2718, 0.3529, 0.0987)  1 Pt 2.73, 2 Au 2.82-2.95, 1 Ag 2.86
Sn (0.4287, 0.6438, 0.5768)  1 Pt 2.72, 1 Ag 2.85, 2 Au 3.00-3.04
Sn (0.4287, 0.8562, 0.0768)  1 Pt 2.72, 1 Ag 2.85, 2 Au 3.00-3.04
Sn (0.5713, 0.1438, 0.9232)  1 Pt 2.72, 1 Ag 2.85, 2 Au 3.00-3.04
Sn (0.5713, 0.3562, 0.4232)  1 Pt 2.72, 1 Ag 2.85, 2 Au 3.00-3.04
Sn (0.7282, 0.6471, 0.9013)  1 Pt 2.73, 2 Au 2.82-2.95, 1 Ag 2.86
Sn (0.7282, 0.8529, 0.4013)  1 Pt 2.73, 2 Au 2.82-2.95, 1 Ag 2.86
Sn (0.9070, 0.5579, 0.2385)  1 Pt 2.70, 2 Au 2.76-2.87, 1 Ag 2.85
Sn (0.9070, 0.9421, 0.7385)  1 Pt 2.70, 2 Au 2.76-2.87, 1 Ag 2.85
Pt (0.5000, 0.0000, 0.5000)  6 Sn 2.70-2.73
Pt (0.5000, 0.5000, 0.0000)  6 Sn 2.70-2.73
Au (0.2652, 0.6892, 0.2358)  6 Sn 2.76-3.04
Au (0.2652, 0.8108, 0.7358)  6 Sn 2.76-3.04
Au (0.7348, 0.1892, 0.2642)  6 Sn 2.76-3.04
Au (0.7348, 0.3108, 0.7642)  6 Sn 2.76-3.04

Output
* formation energy from the elements: -1.59 eV per formula unit
* density of states at the Fermi level: 6.41 states/eV/cell
* calculated density: 9.76 g/cm3

=====

Entry 4:
The following is a DFT calculation (PBE) of TmPbS after structural relaxation.

a b c (Å): 4.4319 4.8444 7.9581
angles (deg): 90.00 90.00 90.00
Last column: nearest neighbours and their distance in Å.
Sites, in units of the cell vectors:
Tm (0.2500, 0.2500, 0.1595)  4 S 2.65-2.66
Tm (0.7500, 0.7500, 0.8405)  4 S 2.65-2.66
Pb (0.2500, 0.7500, 0.5023)  4 Pb 3.28, 4 Tm 3.49-3.65
Pb (0.7500, 0.2500, 0.4977)  4 Pb 3.28, 4 Tm 3.49-3.65
S (0.2500, 0.7500, 0.0243)  4 Tm 2.65-2.66
S (0.7500, 0.2500, 0.9757)  4 Tm 2.65-2.66

Output
* formation energy (no corrections): -3.30 eV per formula unit
* density of states at the Fermi level: 2.11 states/eV/cell
* calculated density: 7.93 g/cm3

=====

Entry 5:
The following is a DFT calculation (PBE) of Re2AsPt after structural relaxation.

a b c (Å): 4.4691 4.4691 4.4691
angles (deg): 60.00 60.00 60.00
Last column: nearest neighbours and their distance in Å.
Sites, in units of the cell vectors:
Re (0.0000, 0.0000, 0.0000)  4 Pt 2.74, 4 Re 2.74
Re (0.2500, 0.2500, 0.2500)  4 As 2.74, 4 Re 2.74
As (0.5000, 0.5000, 0.5000)  4 Re 2.74, 4 Pt 2.74
Pt (0.7500, 0.7500, 0.7500)  4 As 2.74, 4 Re 2.74

Output
* formation energy from the elements: 2.30 eV per formula unit
* density of states at the Fermi level: 6.71 states/eV/cell
* calculated density: 16.90 g/cm3